No. 1
The following is a PBE-GGA calculation of TaFeAg2 after structural relaxation, from the Alexandria database.

- total energy (eV/atom) = -6.115
- energy above the most stable polymorph in this dataset (meV/atom) = 172
- ΔH_f (0 K) (eV/f.u.) = 1.56
- crystal system = orthorhombic

The structure in extended XYZ format:
```
8
Lattice="3.046 0.000 0.000 0.000 4.339 0.000 0.000 0.000 9.717" Properties=species:S:1:pos:R:3 pbc="T T T"
Ta 0.000 0.000 0.000
Ta 1.523 2.170 4.858
Fe 0.000 0.000 4.858
Fe 1.523 2.170 0.000
Ag 0.000 2.170 2.224
Ag 0.000 2.170 7.492
Ag 1.523 0.000 2.634
Ag 1.523 0.000 7.083
```

***

No. 2
The following is a PBE-GGA calculation of NdY4Sc3 after structural relaxation, from the Alexandria database.

- total energy (eV/atom) = -5.768
- energy above the most stable polymorph in this dataset (meV/atom) = 248
- ΔH_f (0 K) (eV/f.u.) = 3.47
- crystal system = orthorhombic

The structure in extended XYZ format:
```
16
Lattice="11.475 0.000 0.000 0.000 12.820 0.000 0.000 0.000 3.323" Properties=species:S:1:pos:R:3 pbc="T T T"
Nd 0.000 0.000 0.000
Nd 5.738 6.410 0.000
Y 0.000 3.354 0.000
Y 0.000 9.466 0.000
Y 2.744 6.410 1.661
Y 2.993 0.000 1.661
Y 5.738 3.056 0.000
Y 5.738 9.764 0.000
Y 8.482 0.000 1.661
Y 8.731 6.410 1.661
Sc 0.000 6.410 0.000
Sc 2.869 3.205 1.661
Sc 2.869 9.615 1.661
Sc 5.738 0.000 0.000
Sc 8.606 3.205 1.661
Sc 8.606 9.615 1.661
```

***

No. 3
The following is a PBE-GGA calculation of Nd6RuPt3 after structural relaxation, from the Alexandria database.

- total energy (eV/atom) = -6.315
- ΔH_f (0 K) (eV/f.u.) = -7.14
- crystal system = monoclinic

The structure in extended XYZ format:
```
20
Lattice="6.997 0.000 0.000 0.000 7.697 0.000 -6.899 0.000 10.593" Properties=species:S:1:pos:R:3 pbc="T T T"
Nd -1.106 0.441 2.595
Nd -4.555 3.408 7.892
Nd 1.184 5.270 0.836
Nd -2.266 6.276 6.133
Nd 2.264 1.335 0.801
Nd -1.186 2.514 6.097
Nd 1.284 5.183 4.495
Nd -2.166 6.363 9.792
Nd 2.364 1.422 4.460
Nd -1.086 2.427 9.757
Nd 4.653 4.290 2.701
Nd 1.204 7.257 7.997
Ru 0.000 0.000 0.000
Ru -3.450 3.849 5.296
Pt -3.076 0.844 7.956
Pt 0.374 3.005 2.659
Pt 0.049 0.000 5.296
Pt 3.499 3.849 0.000
Pt -0.276 4.692 7.933
Pt 3.174 6.854 2.637
```

***

No. 4
The following is a PBE-GGA calculation of Cd2CoPd9 after structural relaxation, from the Alexandria database.

- total energy (eV/atom) = -4.773
- ΔH_f (0 K) (eV/f.u.) = -1.60
- crystal system = tetragonal

The structure in extended XYZ format:
```
12
Lattice="3.971 0.000 0.000 0.000 3.971 0.000 0.000 0.000 11.983" Properties=species:S:1:pos:R:3 pbc="T T T"
Cd 0.000 0.000 2.052
Cd 0.000 0.000 9.931
Co 0.000 0.000 5.991
Pd 0.000 1.985 0.000
Pd 0.000 1.985 4.143
Pd 0.000 1.985 7.840
Pd 1.985 0.000 0.000
Pd 1.985 0.000 4.143
Pd 1.985 0.000 7.840
Pd 1.985 1.985 2.080
Pd 1.985 1.985 5.991
Pd 1.985 1.985 9.903
```